[1]
VASP calculation (PBE) on Hg3AsO4 after structural relaxation.

Calculated values
- Formation energy (no corrections): -51.9 kJ/mol of atoms
- E: -0.136 Ha/atom
- Relative energy among the computed polymorphs: 3.835 kcal/mol of atoms

Cell lengths 5.7520, 5.7520, 5.7520 Å; angles 106.09, 103.66, 119.13 degrees
Closest atoms and distances in Å follow each position.
Fractional positions:
Hg 0.0000 0.0000 0.0000  2 O 2.39
Hg 0.6030 0.3750 0.7720  1 O 2.27
Hg 0.6030 0.8310 0.2280  1 O 2.27
As 0.0466 0.5466 0.5000  4 O 1.72-1.76
O 0.0718 0.3745 0.6972  1 As 1.72
O 0.2204 0.5123 0.2920  1 As 1.76
O 0.2204 0.9284 0.7080  1 As 1.76
O 0.6773 0.3745 0.3028  1 As 1.72

[2]
VASP calculation (PBE) on CsSbP after structural relaxation.

Calculated values
- Formation energy (no corrections): -27.7 kJ/mol of atoms
- E: -0.138 Ha/atom
- Relative energy among the computed polymorphs: 0.388 kcal/mol of atoms

Cell lengths 6.2050, 6.4108, 8.2065 Å; angles 90.00, 112.09, 90.00 degrees
Closest atoms and distances in Å follow each position.
Fractional positions:
Cs 0.0000 0.0000 0.0000  2 P 3.59, 4 Sb 4.00
Cs 0.2692 0.5000 0.5432  4 P 3.77-3.78, 4 Sb 4.14-4.15
Sb 0.6174 0.2760 0.2360  1 P 2.48
Sb 0.6174 0.7240 0.2360  1 P 2.48
P 0.7712 0.1653 0.5488  1 P 2.12
P 0.7712 0.8347 0.5488  1 P 2.12

[3]
VASP calculation (PBE) on NaMoAu after structural relaxation.

Calculated values
- E: -0.181 Ha/atom
- Relative energy among the computed polymorphs: 0.000 kcal/mol of atoms
- DFT formation energy: 0.2039 eV per atom

Cell lengths 7.7670, 2.9792, 9.8491 Å; angles 90.00, 90.00, 90.00 degrees
Closest atoms and distances in Å follow each position.
Fractional positions:
Na 0.1391 0.2500 0.0863  5 Au 2.92-3.06, 4 Na 2.98-3.13, 2 Mo 3.13-3.26
Na 0.3609 0.7500 0.5863  5 Au 2.92-3.06, 4 Na 2.98-3.13, 2 Mo 3.13-3.26
Na 0.6391 0.2500 0.4137  5 Au 2.92-3.06, 4 Na 2.98-3.13, 2 Mo 3.13-3.26
Na 0.8609 0.7500 0.9137  5 Au 2.92-3.06, 4 Na 2.98-3.13, 2 Mo 3.13-3.26
Mo 0.0420 0.2500 0.4088  2 Mo 2.42
Mo 0.4580 0.7500 0.9088  2 Mo 2.42
Mo 0.5420 0.2500 0.0912  2 Mo 2.42
Mo 0.9580 0.7500 0.5912  2 Mo 2.42
Au 0.1661 0.2500 0.7893  5 Na 2.92-3.06, 4 Mo 2.94-2.96, 2 Au 2.98
Au 0.3339 0.7500 0.2893  5 Na 2.92-3.06, 4 Mo 2.94-2.96, 2 Au 2.98
Au 0.6661 0.2500 0.7107  5 Na 2.92-3.06, 4 Mo 2.94-2.96, 2 Au 2.98
Au 0.8339 0.7500 0.2107  5 Na 2.92-3.06, 4 Mo 2.94-2.96, 2 Au 2.98

What did the second record say?
VASP calculation (PBE) on CsSbP after structural relaxation.

Calculated values
- Formation energy (no corrections): -27.7 kJ/mol of atoms
- E: -0.138 Ha/atom
- Relative energy among the computed polymorphs: 0.388 kcal/mol of atoms

Cell lengths 6.2050, 6.4108, 8.2065 Å; angles 90.00, 112.09, 90.00 degrees
Closest atoms and distances in Å follow each position.
Fractional positions:
Cs 0.0000 0.0000 0.0000  2 P 3.59, 4 Sb 4.00
Cs 0.2692 0.5000 0.5432  4 P 3.77-3.78, 4 Sb 4.14-4.15
Sb 0.6174 0.2760 0.2360  1 P 2.48
Sb 0.6174 0.7240 0.2360  1 P 2.48
P 0.7712 0.1653 0.5488  1 P 2.12
P 0.7712 0.8347 0.5488  1 P 2.12

Question: The highest E belongs to which entry?
Answer: Hg3AsO4